{
  "formula": "YSn2Cl",
  "functional": "GGA-PBE",
  "state": "relaxed",
  "lattice_angstrom": [[10.2752, 0.0000, 0.0000], [0.0000, 10.2752, 0.0000], [5.1376, 5.1376, 2.5613]],
  "species": ["Y", "Y", "Sn", "Sn", "Sn", "Sn", "Cl", "Cl"],
  "fractional_positions": [[0.0000, 0.0000, 0.0000], [0.7500, 0.2500, 0.5000], [0.6955, 0.1250, 0.2500], [0.0545, 0.6250, 0.2500], [0.3750, 0.3045, 0.7500], [0.8750, 0.9455, 0.7500], [0.5000, 0.5000, 0.0000], [0.2500, 0.7500, 0.5000]],
  "de_polymorph_ev_per_fu": 0.00,
  "crystal_system": "tetragonal"
}

***

{
  "formula": "La12Nd5Y",
  "functional": "GGA-PBE",
  "state": "relaxed",
  "lattice_angstrom": [[11.0988, -0.0013, -0.0016], [5.5510, 9.5266, 1.6152], [0.0010, 1.1251, 6.3312]],
  "species": ["La", "La", "La", "La", "La", "La", "La", "La", "La", "La", "La", "La", "Nd", "Nd", "Nd", "Nd", "Nd", "Y"],
  "fractional_positions": [[0.8325, 0.0000, 0.5000], [0.1675, 0.0000, 0.5000], [0.6694, 0.0000, 0.0000], [0.3306, 0.0000, 0.0000], [0.3353, 0.6667, 0.0001], [0.9980, 0.6667, 0.0002], [0.0021, 0.3333, 0.9998], [0.6647, 0.3333, 0.9999], [0.5025, 0.3331, 0.5000], [0.8356, 0.6669, 0.5000], [0.1644, 0.3331, 0.5000], [0.4975, 0.6669, 0.5000], [0.5000, 0.0000, 0.5000], [0.1664, 0.6672, 0.4995], [0.8336, 0.3328, 0.5005], [0.6667, 0.6666, 0.0009], [0.3333, 0.3334, 0.9991], [0.0000, 0.0000, 0.0000]],
  "e_tot_ev_per_fu": -89.2,
  "crystal_system": "monoclinic"
}

***

{
  "formula": "LiAlP2",
  "functional": "GGA-PBE",
  "state": "relaxed",
  "lattice_angstrom": [[6.2048, 0.0000, 0.0000], [0.0000, 6.2048, 0.0000], [0.0000, 0.0000, 8.6457]],
  "species": ["P", "P", "P", "P", "P", "P", "P", "P", "Al", "Al", "Al", "Al", "Li", "Li", "Li", "Li"],
  "fractional_positions": [[0.1610, 0.9000, 0.9994], [0.8390, 0.1000, 0.4994], [0.6000, 0.6610, 0.2494], [0.4000, 0.3390, 0.7494], [0.3390, 0.4000, 0.2506], [0.6610, 0.6000, 0.7506], [0.9000, 0.1610, 0.0006], [0.1000, 0.8390, 0.5006], [0.2699, 0.2699, 0.0000], [0.7301, 0.7301, 0.5000], [0.2301, 0.7699, 0.2500], [0.7699, 0.2301, 0.7500], [0.7677, 0.7677, 0.0000], [0.2323, 0.2323, 0.5000], [0.7323, 0.2677, 0.2500], [0.2677, 0.7323, 0.7500]],
  "e_tot_ev_per_fu": -18.0,
  "crystal_system": "tetragonal"
}

***

{
  "formula": "NaLaCuH",
  "functional": "GGA-PBE",
  "state": "relaxed",
  "lattice_angstrom": [[4.0370, 0.0000, 0.0000], [-2.0185, 3.4961, 0.0000], [0.0000, 0.0000, 6.7040]],
  "species": ["Na", "La", "Cu", "H"],
  "fractional_positions": [[0.3333, 0.6667, 0.0050], [0.6667, 0.3333, 0.5384], [0.0000, 0.0000, 0.2705], [0.3333, 0.6667, 0.6494]],
  "de_polymorph_ev_per_fu": 0.14,
  "crystal_system": "trigonal"
}

***

{
  "formula": "Sc2CoPt",
  "functional": "GGA-PBE",
  "state": "relaxed",
  "lattice_angstrom": [[5.2757, -0.0070, -0.0264], [4.0822, 3.3420, -0.0264], [0.0202, 0.0072, 4.0132]],
  "species": ["Co", "Pt", "Sc", "Sc"],
  "fractional_positions": [[0.4605, 0.4605, 0.6250], [0.2975, 0.2975, 0.1251], [0.0189, 0.0189, 0.1249], [0.7231, 0.7231, 0.6250]],
  "e_tot_ev_per_fu": -28.7,
  "crystal_system": "orthorhombic"
}

***

{
  "formula": "PdBr4",
  "functional": "GGA-PBE",
  "state": "relaxed",
  "lattice_angstrom": [[5.1556, 0.0000, 0.0000], [0.0000, 5.1556, 0.0000], [0.0000, 0.0000, 5.1556]],
  "species": ["Br", "Br", "Br", "Br", "Pd"],
  "fractional_positions": [[0.0000, 0.0000, 0.0000], [0.5000, 0.0000, 0.5000], [0.0000, 0.5000, 0.5000], [0.5000, 0.5000, 0.0000], [0.5000, 0.5000, 0.5000]],
  "e_tot_ev_per_fu": -11.1,
  "crystal_system": "cubic"
}

***

{
  "formula": "Ca3ReSi",
  "functional": "GGA-PBE",
  "state": "relaxed",
  "lattice_angstrom": [[5.4256, 0.0000, 0.0000], [0.0000, 5.4256, 0.0000], [0.0000, 0.0000, 5.4256]],
  "species": ["Re", "Ca", "Ca", "Ca", "Si"],
  "fractional_positions": [[0.0000, 0.0000, 0.0000], [0.0000, 0.5000, 0.0000], [0.0000, 0.0000, 0.5000], [0.5000, 0.0000, 0.0000], [0.5000, 0.5000, 0.5000]],
  "e_tot_ev_per_fu": -19.2,
  "crystal_system": "cubic"
}

***

{
  "formula": "MgSnB",
  "functional": "GGA-PBE",
  "state": "relaxed",
  "lattice_angstrom": [[-2.3920, 1.9048, 0.9936], [0.3499, -2.9349, 1.2666], [7.5740, 5.8130, 7.0669]],
  "species": ["Mg", "Mg", "B", "B", "Sn", "Sn"],
  "fractional_positions": [[0.2759, 0.2863, 0.0626], [0.7653, 0.2501, 0.5043], [0.1455, 0.0095, 0.6362], [0.4779, 0.6746, 0.6342], [0.0209, 0.7688, 0.2829], [0.5396, 0.8030, 0.8358]],
  "de_polymorph_ev_per_fu": 0.00,
  "crystal_system": "triclinic"
}